Here is a relaxed Ca2MgGa10 crystal from Alexandria. Energies are from PBE.

a = 5.578 Å, b = 6.029 Å, c = 17.118 Å
α = 90.00°, β = 65.49°, γ = 90.00°
Sites, in units of the cell vectors:
Ca (0.513, 0.348, 0.866)
Ca (0.487, 0.652, 0.134)
Ca (0.487, 0.848, 0.634)
Ca (0.513, 0.152, 0.366)
Mg (0.000, 0.500, 0.500)
Mg (0.000, 0.000, 0.000)
Ga (0.126, 0.968, 0.547)
Ga (0.874, 0.032, 0.453)
Ga (0.874, 0.468, 0.953)
Ga (0.126, 0.532, 0.047)
Ga (0.871, 0.066, 0.710)
Ga (0.129, 0.934, 0.290)
Ga (0.447, 0.183, 0.046)
Ga (0.444, 0.843, 0.823)
Ga (0.553, 0.683, 0.454)
Ga (0.556, 0.343, 0.677)
Ga (0.553, 0.817, 0.954)
Ga (0.556, 0.157, 0.177)
Ga (0.447, 0.317, 0.546)
Ga (0.444, 0.657, 0.323)
Ga (0.919, 0.885, 0.181)
Ga (0.081, 0.115, 0.819)
Ga (0.081, 0.385, 0.319)
Ga (0.919, 0.615, 0.681)
Ga (0.871, 0.434, 0.210)
Ga (0.129, 0.566, 0.790)

## Properties
ΔE_f ... -263.4 meV/atom
Density ... 5.1 g/cm3
E_tot ... -0.1111 hartree per atom